Material: BeHgPt3
Method: DFT, PBE
State: optimized geometry

```
BeHgPt3
1.0
5.399 0.000 0.000
0.000 8.023 0.000
0.000 0.000 7.150
Be Hg Pt
4 4 12
Direct
0.000 0.000 0.000
0.000 0.500 0.000
0.500 0.000 0.500
0.500 0.500 0.500
0.227 0.250 0.376
0.273 0.750 0.876
0.727 0.250 0.124
0.773 0.750 0.624
0.111 0.036 0.679
0.111 0.464 0.679
0.228 0.250 0.962
0.272 0.750 0.462
0.389 0.536 0.179
0.389 0.964 0.179
0.611 0.036 0.821
0.611 0.464 0.821
0.728 0.250 0.538
0.772 0.750 0.038
0.889 0.536 0.321
0.889 0.964 0.321
```

Summary:
ΔH_f (0 K): -175 meV/atom
final energy: -4.61 eV per atom

Material: LiYRh
Method: DFT, PBE
State: optimized geometry

```
LiYRh
1.0
4.333 0.000 0.000
-2.166 3.752 0.000
0.000 0.000 3.471
Li Y Rh
1 1 1
Direct
0.000 0.000 0.000
0.333 0.667 0.501
0.667 0.333 0.003
```

Summary:
ΔH_f (0 K): -421 meV/atom
final energy: -5.66 eV per atom

Material: NpHgTe3
Method: DFT, PBE
State: optimized geometry

```
NpHgTe3
1.0
9.547 -2.315 0.000
9.547 2.315 0.000
-2.665 0.000 7.615
Np Hg Te
2 2 6
Direct
0.222 0.222 0.229
0.778 0.778 0.771
0.492 0.492 0.325
0.508 0.508 0.675
0.049 0.049 0.176
0.181 0.181 0.572
0.340 0.340 0.036
0.660 0.660 0.964
0.819 0.819 0.428
0.951 0.951 0.824
```

Summary:
energy relative to the elements, uncorrected: -35.7 kJ/mol of atoms
final energy: -4.90 eV per atom

Material: AuBrNF2
Method: DFT, PBE
State: optimized geometry

```
AuBrNF2
1.0
4.725 0.000 0.000
0.000 4.725 0.000
0.000 0.000 3.645
Au Br N F
1 1 1 2
Direct
0.000 0.000 0.000
0.500 0.500 0.500
0.500 0.500 0.000
0.000 0.500 0.500
0.500 0.000 0.500
```

Summary:
energy relative to the elements, uncorrected: 73.9 kJ/mol of atoms
final energy: -2.64 eV per atom

no.,M_tot (μB/cell)
1,0.00
2,0.00
3,6.05
4,0.00